Crystalline CrN2F2 at its relaxed geometry. Source: Alexandria via LeMat-Bulk, functional GGA+U.

Computed properties:
Space-group type ... P4/mmm (123)
Distance to the lowest polymorph of the same formula ... 0.0 meV/atom
Total DFT energy (no corrections) ... -5.482 eV per atom
Calculated volume ... 61 Å³/cell

```
CrN2F2
1.0
3.8962 0.0000 0.0000
0.0000 3.8962 0.0000
0.0000 0.0000 3.9963
Cr N F
1 2 2
Direct
0.0000 0.0000 0.0000 Cr
0.0000 0.0000 0.5000 N
0.5000 0.5000 0.5000 N
0.0000 0.5000 0.0000 F
0.5000 0.0000 0.0000 F
```